Computed, not measured: a relaxed structure of U2Ga10CoNi at the GGA-PBE level of DFT.

electronic total energy: -5.022 eV/atom
crystal system: tetragonal
formation enthalpy at 0 K: -0.3268 eV per atom

abc: 4.246 4.246 13.528
angles: 90.00 90.00 90.00
Space group P4/mmm (No. 123)
Unique sites:
1 U 0.000 0.000 0.248 x2
2 Ga 0.000 0.500 0.096 x4
3 Ga 0.000 0.500 0.402 x4
4 Ga 0.500 0.500 0.249 x2
5 Co 0.000 0.000 0.000 x1
6 Ni 0.000 0.000 0.500 x1